First-principles (PBE-GGA) data for crystalline In2AgAu6 at its relaxed geometry, as listed in the Alexandria database.

Output
Density of states at the Fermi level = 4.26 states/eV per cell
Formation energy from the elements = -0.1111 eV per atom
SG = P4_2/mnm

Cell: 4.1442 9.0367 9.0360 Å, 90.00 90.03 90.00°
Fractional coordinates of all 18 atoms:
1 In 0.0000 0.3286 0.8285
2 In 0.5000 0.8286 0.6715
3 In 0.5000 0.1714 0.3285
4 In 0.0000 0.6714 0.1715
5 Ag 0.5000 0.5000 0.0000
6 Ag 0.0000 0.0000 0.5000
7 Au 0.0000 0.9953 0.1675
8 Au 0.0000 0.6675 0.4953
9 Au 0.0000 0.6621 0.8380
10 Au 0.5000 0.1621 0.6620
11 Au 0.5000 0.1675 0.0047
12 Au 0.5000 0.4953 0.3325
13 Au 0.0000 0.0047 0.8325
14 Au 0.0000 0.3325 0.5047
15 Au 0.0000 0.3379 0.1620
16 Au 0.5000 0.8379 0.3380
17 Au 0.5000 0.8325 0.9953
18 Au 0.5000 0.5047 0.6675